Run P
## PrEr2Th (PBE)

Data for a geometry-optimized PrEr2Th structure.

Cell and atoms, written as POSCAR:
```
PrEr2Th
1.0
4.9570 0.0000 0.0000
0.0000 5.0971 0.0000
0.0000 0.0000 5.0971
Pr Th Er
1 1 2
direct
0.5000 0.5000 0.5000
0.5000 0.0000 0.0000
0.0000 0.0000 0.5000
0.0000 0.5000 0.0000
```

Computed properties:
spin magnetization: 0.0000 μB per atom
SG: P4/mmm

Run Q
## PrEr2Th (PBE)

Data for a geometry-optimized PrEr2Th structure.

Cell and atoms, written as POSCAR:
```
PrEr2Th
1.0
-2.7239 1.6643 1.4639
-3.0521 -1.6797 0.4427
1.7751 -3.7827 11.8157
Pr Th Er
1 1 2
direct
0.0000 0.0000 0.0000
0.5000 0.5000 0.5000
0.0922 0.0922 0.7233
0.9078 0.9078 0.2767
```

Computed properties:
spin magnetization: 0.0001 μB per atom
SG: R-3m

Run R
## PrEr2Th (PBE)

Data for a geometry-optimized PrEr2Th structure.

Cell and atoms, written as POSCAR:
```
PrEr2Th
1.0
3.5884 0.0000 0.0000
0.0000 6.1205 -0.5705
0.0000 -1.3669 5.9931
Pr Er Th
1 2 1
direct
0.5000 0.5000 0.5000
0.0000 0.5000 0.0000
0.0000 0.0000 0.5000
0.5000 0.0000 0.0000
```

Computed properties:
spin magnetization: 0.0000 μB per atom
SG: Cmmm

Run S
## PrEr2Th (PBE)

Data for a geometry-optimized PrEr2Th structure.

Cell and atoms, written as POSCAR:
```
PrEr2Th
1.0
-1.4004 -2.7767 1.8328
1.6985 -3.8749 -4.5686
11.4964 1.1174 3.3397
Pr Er Th
2 4 2
direct
0.5060 0.3024 0.8011
0.0068 0.8025 0.8013
0.2495 0.9686 0.5436
0.2633 0.1363 0.0587
0.7633 0.6363 0.0588
0.7496 0.4686 0.5436
0.0064 0.3024 0.3011
0.5064 0.8025 0.3011
```

Computed properties:
spin magnetization: 0.0000 μB per atom
SG: C2/m

Computed energies relative to the best structure, in kJ/mol of atoms: run P 4.1; run Q 13.7; run R 3.0; run S 0.0

Run P
## PrEr2Th (PBE)

Data for a geometry-optimized PrEr2Th structure.

Cell and atoms, written as POSCAR:
```
PrEr2Th
1.0
3.5819 0.0000 0.0000
1.7910 3.1021 0.0000
1.7910 1.0340 11.6544
Pr Er Th
1 2 1
direct
0.6666 0.6666 0.0003
0.0840 0.0840 0.7480
0.2491 0.2491 0.2526
0.5003 0.5003 0.4991
```

Computed properties:
spin magnetization: 0.0000 μB per atom
SG: R3m

Run Q
## PrEr2Th (PBE)

Data for a geometry-optimized PrEr2Th structure.

Cell and atoms, written as POSCAR:
```
PrEr2Th
1.0
5.6894 0.0000 0.0000
2.8447 4.9272 0.0000
2.8447 1.6424 4.6454
Pr Th Er
1 1 2
direct
0.5000 0.5000 0.5000
0.0000 0.0000 0.0000
0.2500 0.2500 0.2500
0.7500 0.7500 0.7500
```

Computed properties:
spin magnetization: 0.0035 μB per atom
SG: Fm-3m

Run R
## PrEr2Th (PBE)

Data for a geometry-optimized PrEr2Th structure.

Cell and atoms, written as POSCAR:
```
PrEr2Th
1.0
-2.8399 -0.3529 -2.1763
0.3349 -3.5768 0.1430
-6.0629 -0.2499 7.9523
Pr Th Er
1 1 2
direct
0.5000 0.5000 0.5000
0.5000 0.5000 0.0000
0.0000 0.0000 0.7605
0.0000 0.0000 0.2395
```

Computed properties:
spin magnetization: 0.0000 μB per atom
SG: P4/mmm

Computed energies relative to the best structure, in kJ/mol of atoms: run P 2.7; run Q 11.0; run R 0.0

Run P
## PrEr3Th2 (PBE)

Data for a geometry-optimized PrEr3Th2 structure.

Cell and atoms, written as POSCAR:
```
PrEr3Th2
1.0
3.5408 0.0000 0.5805
0.9908 9.8505 5.0453
-0.0040 -0.0082 11.1132
Pr Er Th
2 6 4
direct
0.6079 0.0196 0.7646
0.3921 0.9804 0.2354
0.7212 0.1541 0.4035
0.9467 0.6758 0.4309
0.6116 0.5078 0.2690
0.2788 0.8459 0.5965
0.3884 0.4922 0.7310
0.0533 0.3242 0.5691
0.7208 0.6524 0.9060
0.2792 0.3476 0.0940
0.0621 0.8066 0.0691
0.9379 0.1934 0.9309
```

Computed properties:
spin magnetization: 0.0000 μB per atom
SG: C2/m

Run Q
## PrEr3Th2 (PBE)

Data for a geometry-optimized PrEr3Th2 structure.

Cell and atoms, written as POSCAR:
```
PrEr3Th2
1.0
3.6023 0.0000 0.0000
-1.8012 9.2751 0.0000
0.0000 0.0000 11.5644
Pr Er Th
2 6 4
direct
0.2204 0.4407 0.2500
0.7796 0.5593 0.7500
0.6638 0.3276 0.9943
0.1062 0.2125 0.7500
0.6638 0.3276 0.5057
0.8938 0.7875 0.2500
0.3362 0.6724 0.0057
0.3362 0.6724 0.4943
0.0000 0.0000 0.0000
0.0000 0.0000 0.5000
0.5549 0.1098 0.2500
0.4451 0.8902 0.7500
```

Computed properties:
spin magnetization: 0.0000 μB per atom
SG: Cmcm

Computed energies relative to the best structure, in kJ/mol of atoms: run P 1.7; run Q 0.0

Run P
## Pr5Er4Th2 (PBE)

Data for a geometry-optimized Pr5Er4Th2 structure.

Cell and atoms, written as POSCAR:
```
Pr5Er4Th2
1.0
-1.4631 -2.7951 1.6003
7.9728 -3.9892 0.3219
2.8712 4.5524 10.5765
Pr Er Th
5 4 2
direct
0.0000 0.4256 0.2937
0.0000 0.8107 0.1630
0.0000 0.5000 0.0000
0.0000 0.1893 0.8370
0.0000 0.5744 0.7063
0.5000 0.2985 0.5484
0.5000 0.8376 0.8909
0.5000 0.7015 0.4516
0.5000 0.1624 0.1091
0.0000 0.9570 0.6328
0.0000 0.0430 0.3672
```

Computed properties:
spin magnetization: 0.0000 μB per atom
SG: P2/m

Run Q
## Pr5Er4Th2 (PBE)

Data for a geometry-optimized Pr5Er4Th2 structure.

Cell and atoms, written as POSCAR:
```
Pr5Er4Th2
1.0
-3.3235 0.1555 -1.1538
-1.8600 -5.9682 4.5531
-0.6349 11.9306 8.8111
Pr Er Th
5 4 2
direct
0.8053 0.0632 0.6105
0.8053 0.5473 0.6105
0.1947 0.4527 0.3895
0.1947 0.9368 0.3895
0.5000 0.0000 0.0000
0.0000 0.3218 0.0000
0.5991 0.5990 0.1981
0.0000 0.6782 0.0000
0.4009 0.4009 0.8019
0.8990 0.8990 0.7980
0.1010 0.1010 0.2020
```

Computed properties:
spin magnetization: 0.0000 μB per atom
SG: Immm

Computed energies relative to the best structure, in kJ/mol of atoms: run P 0.0; run Q 26.6